Entry a
LiWBr2 after structural relaxation. Source: the Alexandria database, functional PBE.

abc: 4.808 4.808 3.143
angles: 90.00 90.00 90.00
Space group P4/mmm (No. 123)
Unique sites:
Li (0.000, 0.000, 0.000) [1 per cell]
W (0.500, 0.500, 0.000) [1 per cell]
Br (0.000, 0.500, 0.500) [2 per cell]

Output
* D(E_F): 0.62 states/eV/atom
* total magnetic moment: 0.304 μB per atom
* calculated volume: 72.7 Å³/cell

---

Entry b
LiWBr2 after structural relaxation. Source: the Alexandria database, functional PBE.

abc: 7.205 7.205 7.205
angles: 90.00 90.00 90.00
Space group F-43m (No. 216)
Unique sites:
Li (0.000, 0.000, 0.000) [4 per cell]
W (0.250, 0.250, 0.750) [4 per cell]
Br (0.000, 0.000, 0.500) [4 per cell]
Br (0.250, 0.250, 0.250) [4 per cell]

Output
* D(E_F): 1.07 states/eV/atom
* total magnetic moment: 1.249 μB per atom
* calculated volume: 374.0 Å³/cell

---

Entry c
LiWBr2 after structural relaxation. Source: the Alexandria database, functional PBE.

abc: 3.845 3.845 14.487
angles: 90.00 90.00 90.00
Space group I-4m2 (No. 119)
Unique sites:
Li (0.000, 0.000, 0.000) [2 per cell]
W (0.000, 0.500, 0.750) [2 per cell]
Br (0.000, 0.000, 0.500) [2 per cell]
Br (0.000, 0.500, 0.250) [2 per cell]

Output
* D(E_F): 0.29 states/eV/atom
* total magnetic moment: 1.091 μB per atom
* calculated volume: 214.2 Å³/cell

---

Entry d
LiWBr2 after structural relaxation. Source: the Alexandria database, functional PBE.

abc: 3.379 4.210 7.264
angles: 90.00 90.00 90.00
Space group Pmmm (No. 47)
Unique sites:
Li (0.000, 0.000, 0.000) [1 per cell]
W (0.500, 0.000, 0.500) [1 per cell]
Br (0.000, 0.500, 0.500) [1 per cell]
Br (0.500, 0.500, 0.000) [1 per cell]

Output
* D(E_F): 0.29 states/eV/atom
* total magnetic moment: 0.964 μB per atom
* calculated volume: 103.3 Å³/cell

---

Verdict on stability: entry b comes out at the bottom.

---

Entry a
LiWBr2 after structural relaxation. Source: the Alexandria database, functional PBE.

abc: 8.062 3.227 5.944
angles: 90.00 100.45 90.00
Space group C2/m (No. 12)
Unique sites:
Li (0.000, 0.000, 0.000) [2 per cell]
W (0.000, 0.500, 0.500) [2 per cell]
Br (0.237, 0.000, 0.727) [4 per cell]

Output
* D(E_F): 0.43 states/eV/atom
* total magnetic moment: 0.000 μB per atom
* calculated volume: 152.1 Å³/cell

---

Entry b
LiWBr2 after structural relaxation. Source: the Alexandria database, functional PBE.

abc: 3.163 4.858 14.155
angles: 90.00 90.00 90.00
Space group Immm (No. 71)
Unique sites:
Li (0.000, 0.000, 0.000) [2 per cell]
W (0.000, 0.000, 0.500) [2 per cell]
Br (0.000, 0.500, 0.141) [4 per cell]

Output
* D(E_F): 0.64 states/eV/atom
* total magnetic moment: 0.000 μB per atom
* calculated volume: 217.5 Å³/cell

---

Entry c
LiWBr2 after structural relaxation. Source: the Alexandria database, functional PBE.

abc: 6.539 6.539 6.539
angles: 90.00 90.00 90.00
Space group Fm-3m (No. 225)
Unique sites:
Li (0.000, 0.000, 0.000) [4 per cell]
W (0.000, 0.000, 0.500) [4 per cell]
Br (0.250, 0.250, 0.250) [8 per cell]

Output
* D(E_F): 0.32 states/eV/atom
* total magnetic moment: 0.250 μB per atom
* calculated volume: 279.6 Å³/cell

---

Verdict on stability: entry c comes out at the bottom.

---

Entry a
LiWBr2 after structural relaxation. Source: the Alexandria database, functional PBE.

abc: 3.2614 3.2614 25.1120
angles: 90.00 90.00 120.00
Space group R-3m (No. 166, hexagonal axes)
Unique sites:
Li (0.0000, 0.0000, 0.0000) [3 per cell]
W (0.0000, 0.0000, 0.5000) [3 per cell]
Br (0.0000, 0.0000, 0.4008) [6 per cell]

Output
* D(E_F): 0.43 states/eV/atom
* total magnetic moment: 0.000 μB per atom
* calculated volume: 231.3 Å³/cell

---

Entry b
LiWBr2 after structural relaxation. Source: the Alexandria database, functional PBE.

abc: 3.248 3.248 7.700
angles: 90.00 90.00 90.00
Space group P4mm (No. 99)
Unique sites:
Li (0.000, 0.000, 0.000) [1 per cell]
W (0.500, 0.500, 0.235) [1 per cell]
Br (0.000, 0.000, 0.423) [1 per cell]
Br (0.500, 0.500, 0.886) [1 per cell]

Output
* D(E_F): 0.83 states/eV/atom
* total magnetic moment: 0.001 μB per atom
* calculated volume: 81.2 Å³/cell

---

Entry c
LiWBr2 after structural relaxation. Source: the Alexandria database, functional PBE.

abc: 5.156 3.230 9.313
angles: 90.00 90.00 90.00
Space group Amm2 (No. 38)
Unique sites:
Li (0.000, 0.000, 0.000) [2 per cell]
W (0.500, 0.000, 0.361) [2 per cell]
Br (0.000, 0.000, 0.294) [2 per cell]
Br (0.500, 0.000, 0.640) [2 per cell]

Output
* D(E_F): 0.46 states/eV/atom
* total magnetic moment: 0.000 μB per atom
* calculated volume: 155.1 Å³/cell

---

Entry d
LiWBr2 after structural relaxation. Source: the Alexandria database, functional PBE.

abc: 7.265 8.028 3.491
angles: 90.00 110.14 90.00
Space group C2/m (No. 12)
Unique sites:
Li (0.000, 0.000, 0.000) [2 per cell]
W (0.000, 0.500, 0.000) [2 per cell]
Br (0.250, 0.250, 0.000) [4 per cell]

Output
* D(E_F): 0.56 states/eV/atom
* total magnetic moment: 0.878 μB per atom
* calculated volume: 191.2 Å³/cell

---

Verdict on stability: entry d comes out at the bottom.